(1)
The following is a GGA-PBE calculation of a geometry-optimized SiPb2F structure, from Alexandria.

Unit cell a=8.1434 b=8.1434 c=8.1434 alpha=139.03 beta=139.03 gamma=59.32
Atoms (fractional coordinates):
Si1 0.0000 0.0000 0.0000
Si2 0.7500 0.2500 0.5000
Pb1 0.1699 0.6250 0.0449
Pb2 0.3750 0.4199 0.5449
Pb3 0.5801 0.1250 0.9551
Pb4 0.8750 0.8301 0.4551
F1 0.2500 0.7500 0.5000
F2 0.5000 0.5000 0.0000

## Properties
SG: I-42d (122)
Energy: -4.0375 eV per atom
Energy relative to the elements, uncorrected: -360 meV per atom
Magnetic moment: 0.00 μB per formula unit
V: 229.9 Å³ per cell
DOS(E_F): 1.303 states/eV per atom
Crystal system: tetragonal

---

(2)
The following is a GGA-PBE calculation of a geometry-optimized SiPbF2 structure, from Alexandria.

Unit cell a=5.2295 b=5.2295 c=5.2295 alpha=45.86 beta=45.86 gamma=45.86
Atoms (fractional coordinates):
Si1 0.0000 0.0000 0.0000
Pb1 0.5000 0.5000 0.5000
F1 0.3082 0.3082 0.3082
F2 0.6918 0.6918 0.6918

## Properties
SG: R-3m (166)
Energy: -4.2184 eV per atom
Energy relative to the elements, uncorrected: -1000 meV per atom
Magnetic moment: 0.00 μB per formula unit
V: 67.2 Å³ per cell
DOS(E_F): 0.282 states/eV per atom
Crystal system: trigonal

---

(3)
The following is a GGA-PBE calculation of a geometry-optimized SiPbF2 structure, from Alexandria.

Unit cell a=8.5157 b=8.5157 c=8.5157 alpha=151.67 beta=151.67 gamma=40.50
Atoms (fractional coordinates):
Si1 0.0000 0.0000 0.0000
Si2 0.7500 0.2500 0.5000
Pb1 0.2500 0.7500 0.5000
Pb2 0.5000 0.5000 0.0000
F1 0.0847 0.6250 0.9597
F2 0.3750 0.3347 0.4597
F3 0.6653 0.1250 0.0403
F4 0.8750 0.9153 0.5403

## Properties
SG: I-42d (122)
Energy: -4.3037 eV per atom
Energy relative to the elements, uncorrected: -1085 meV per atom
Magnetic moment: 0.00 μB per formula unit
V: 138.8 Å³ per cell
DOS(E_F): 0.241 states/eV per atom
Crystal system: tetragonal

---

(4)
The following is a GGA-PBE calculation of a geometry-optimized SiPbF2 structure, from Alexandria.

Unit cell a=8.2769 b=8.2769 c=8.2769 alpha=22.10 beta=22.10 gamma=22.10
Atoms (fractional coordinates):
Si1 0.0000 0.0000 0.0000
Pb1 0.5000 0.5000 0.5000
F1 0.0753 0.0753 0.0753
F2 0.9247 0.9247 0.9247

## Properties
SG: R-3m (166)
Energy: -4.5152 eV per atom
Energy relative to the elements, uncorrected: -1297 meV per atom
Magnetic moment: 0.10 μB per formula unit
V: 70.4 Å³ per cell
DOS(E_F): 0.842 states/eV per atom
Crystal system: trigonal

---

(5)
The following is a GGA-PBE calculation of a geometry-optimized Si3PbF structure, from Alexandria.

Unit cell a=4.6231 b=4.6231 c=4.6231 alpha=90.00 beta=90.00 gamma=90.00
Atoms (fractional coordinates):
Si1 0.0000 0.0000 0.5000
Si2 0.0000 0.5000 0.0000
Si3 0.5000 0.0000 0.0000
Pb1 0.5000 0.5000 0.5000
F1 0.0000 0.0000 0.0000

## Properties
SG: Pm-3m (221)
Energy: -3.9900 eV per atom
Energy relative to the elements, uncorrected: 380 meV per atom
Magnetic moment: 0.00 μB per formula unit
V: 98.8 Å³ per cell
DOS(E_F): 1.283 states/eV per atom
Crystal system: cubic

---

(6)
The following is a GGA-PBE calculation of a geometry-optimized SiPbF2 structure, from Alexandria.

Unit cell a=4.5620 b=4.5620 c=4.5620 alpha=60.00 beta=60.00 gamma=60.00
Atoms (fractional coordinates):
Si1 0.0000 0.0000 0.0000
Pb1 0.5000 0.5000 0.5000
F1 0.2500 0.2500 0.2500
F2 0.7500 0.7500 0.7500

## Properties
SG: Fm-3m (225)
Energy: -3.9860 eV per atom
Energy relative to the elements, uncorrected: -767 meV per atom
Magnetic moment: 0.00 μB per formula unit
V: 67.1 Å³ per cell
DOS(E_F): 0.935 states/eV per atom
Crystal system: cubic

---

(7)
The following is a GGA-PBE calculation of a geometry-optimized SiPb2F6 structure, from Alexandria.

Unit cell a=5.4977 b=5.4977 c=11.2478 alpha=90.00 beta=90.00 gamma=90.00
Atoms (fractional coordinates):
Si1 0.0000 0.0000 0.0000
Si2 0.5000 0.5000 0.5000
Pb1 0.0000 0.0000 0.3354
Pb2 0.0000 0.0000 0.6646
Pb3 0.5000 0.5000 0.1646
Pb4 0.5000 0.5000 0.8354
F1 0.1835 0.1835 0.1605
F2 0.1835 0.1835 0.8395
F3 0.2388 0.2388 0.5000
F4 0.2612 0.7388 0.0000
F5 0.3165 0.6835 0.3395
F6 0.3165 0.6835 0.6605
F7 0.6835 0.3165 0.3395
F8 0.6835 0.3165 0.6605
F9 0.7388 0.2612 0.0000
F10 0.7612 0.7612 0.5000
F11 0.8165 0.8165 0.1605
F12 0.8165 0.8165 0.8395

## Properties
SG: P4_2/mnm (136)
Energy: -4.8051 eV per atom
Energy relative to the elements, uncorrected: -2131 meV per atom
Magnetic moment: 0.00 μB per formula unit
V: 340.0 Å³ per cell
DOS(E_F): 0.000 states/eV per atom
Crystal system: tetragonal

---

(8)
The following is a GGA-PBE calculation of a geometry-optimized Si3PbF structure, from Alexandria.

Unit cell a=5.3965 b=5.3965 c=5.3965 alpha=90.00 beta=90.00 gamma=90.00
Atoms (fractional coordinates):
Si1 0.0000 0.0000 0.5000
Si2 0.0000 0.5000 0.0000
Si3 0.5000 0.0000 0.0000
Pb1 0.0000 0.0000 0.0000
F1 0.5000 0.5000 0.5000

## Properties
SG: Pm-3m (221)
Energy: -3.0854 eV per atom
Energy relative to the elements, uncorrected: 1284 meV per atom
Magnetic moment: 0.00 μB per formula unit
V: 157.2 Å³ per cell
DOS(E_F): 0.786 states/eV per atom
Crystal system: cubic

---

(9)
The following is a GGA-PBE calculation of a geometry-optimized SiPbF3 structure, from Alexandria.

Unit cell a=4.7643 b=4.7643 c=4.7643 alpha=90.00 beta=90.00 gamma=90.00
Atoms (fractional coordinates):
Si1 0.0000 0.0000 0.0000
Pb1 0.5000 0.5000 0.5000
F1 0.0000 0.5000 0.5000
F2 0.5000 0.0000 0.5000
F3 0.5000 0.5000 0.0000

## Properties
SG: Pm-3m (221)
Energy: -4.0479 eV per atom
Energy relative to the elements, uncorrected: -1099 meV per atom
Magnetic moment: 1.03 μB per formula unit
V: 108.1 Å³ per cell
DOS(E_F): 0.811 states/eV per atom
Crystal system: cubic

---

(10)
The following is a GGA-PBE calculation of a geometry-optimized Si2PbF2 structure, from Alexandria.

Unit cell a=9.3201 b=9.3201 c=9.3201 alpha=159.18 beta=159.18 gamma=29.61
Atoms (fractional coordinates):
Si1 0.2500 0.7500 0.5000
Si2 0.7500 0.2500 0.5000
Pb1 0.0000 0.0000 0.0000
F1 0.4309 0.4309 0.0000
F2 0.5691 0.5691 0.0000

## Properties
SG: I4/mmm (139)
Energy: -4.5086 eV per atom
Energy relative to the elements, uncorrected: -849 meV per atom
Magnetic moment: 0.00 μB per formula unit
V: 102.2 Å³ per cell
DOS(E_F): 0.199 states/eV per atom
Crystal system: tetragonal

---

(11)
The following is a GGA-PBE calculation of a geometry-optimized SiPbF3 structure, from Alexandria.

Unit cell a=4.3869 b=4.3869 c=4.3869 alpha=90.00 beta=90.00 gamma=90.00
Atoms (fractional coordinates):
Si1 0.0000 0.0000 0.0000
Pb1 0.5000 0.5000 0.5000
F1 0.0000 0.0000 0.5000
F2 0.0000 0.5000 0.0000
F3 0.5000 0.0000 0.0000

## Properties
SG: Pm-3m (221)
Energy: -4.3647 eV per atom
Energy relative to the elements, uncorrected: -1416 meV per atom
Magnetic moment: 0.14 μB per formula unit
V: 84.4 Å³ per cell
DOS(E_F): 0.784 states/eV per atom
Crystal system: cubic

---

(12)
The following is a GGA-PBE calculation of a geometry-optimized TlSiPbF6 structure, from Alexandria.

Unit cell a=4.8654 b=5.6470 c=6.1152 alpha=71.62 beta=88.87 gamma=88.29
Atoms (fractional coordinates):
Tl1 0.0000 0.0000 0.0000
Si1 0.4321 0.6529 0.6443
Pb1 0.5208 0.2871 0.2776
F1 0.1650 0.4978 0.7966
F2 0.2660 0.9351 0.6151
F3 0.2922 0.6407 0.3861
F4 0.5800 0.6593 0.8965
F5 0.6013 0.3720 0.6654
F6 0.6969 0.8171 0.4841

## Properties
SG: P1 (1)
Energy: -4.9807 eV per atom
Energy relative to the elements, uncorrected: -2456 meV per atom
Magnetic moment: 0.17 μB per formula unit
V: 159.4 Å³ per cell
DOS(E_F): 0.209 states/eV per atom
Crystal system: triclinic

---

Which of these has the highest energy relative to the elements, uncorrected? number 8